# 1
Entry from Alexandria via LeMat-Bulk: BiS2I2 after structural relaxation (PBE).

Output
total DFT energy (no corrections) = -32.02 eV for the cell shown
calculated volume = 485 Å³ per cell

Unit cell a=7.9966 b=8.4325 c=8.4104 alpha=83.65 beta=61.61 gamma=76.54
Atoms (fractional coordinates):
1 I 0.0468 0.7341 0.4272
2 S 0.7769 0.5758 0.0000
3 Bi 0.1639 0.5000 0.6721
4 S 0.2231 0.4242 0.0000
5 I 0.5259 0.2659 0.4272
6 I 0.4741 0.7341 0.5728
7 Bi 0.8361 0.5000 0.3279
8 S 0.9504 0.7131 0.0000
9 I 0.9532 0.2659 0.5728
10 S 0.0496 0.2869 0.0000



# 2
Entry from Alexandria via LeMat-Bulk: Pu6Ge3H after structural relaxation (PBE).

Output
total DFT energy (no corrections) = -105.31 eV for the cell shown
calculated volume = 218 Å³ per cell

Unit cell a=7.3497 b=5.9422 c=5.9422 alpha=58.72 beta=80.57 gamma=80.57
Atoms (fractional coordinates):
1 Pu 0.6438 0.3598 0.8710
2 H 0.5000 0.5000 0.5000
3 Pu 0.3562 0.6402 0.1290
4 Pu 0.0983 0.6432 0.6432
5 Pu 0.3562 0.1290 0.6402
6 Ge 0.7284 0.8479 0.8479
7 Pu 0.9017 0.3568 0.3568
8 Pu 0.6438 0.8710 0.3598
9 Ge 0.2716 0.1521 0.1521
10 Ge 0.0000 0.0000 0.0000



# 3
Entry from Alexandria via LeMat-Bulk: Hf5Tc6Mo after structural relaxation (PBE).

Output
total DFT energy (no corrections) = -128.01 eV for the cell shown
calculated volume = 204 Å³ per cell
formation energy from the elements = -10.02 kcal/mol of atoms

Unit cell a=4.5795 b=6.4818 c=7.9286 alpha=114.13 beta=106.79 gamma=90.00
Atoms (fractional coordinates):
1 Mo 0.0000 0.0000 0.0000
2 Hf 0.0000 0.5000 0.0000
3 Tc 0.1627 0.4083 0.3254
4 Hf 0.3337 0.3337 0.6673
5 Tc 0.5000 0.7585 0.0000
6 Tc 0.8373 0.0829 0.6746
7 Hf 0.6667 0.1667 0.3334
8 Hf 0.6663 0.6663 0.3327
9 Tc 0.5000 0.2415 0.0000
10 Hf 0.3333 0.8333 0.6666
11 Tc 0.8373 0.5917 0.6746
12 Tc 0.1627 0.9171 0.3254



# 4
Entry from Alexandria via LeMat-Bulk: Y2Mg3Cu after structural relaxation (PBE).

Output
energy relative to the lowest polymorph listed for this composition = 108 kJ/mol of formula units
total DFT energy (no corrections) = -42.42 eV for the cell shown
calculated volume = 281 Å³ per cell
formation energy from the elements = 2.30 kcal/mol of atoms

Unit cell a=5.1525 b=5.1525 c=12.2220 alpha=90.00 beta=90.00 gamma=120.00
Atoms (fractional coordinates):
1 Mg 0.6667 0.3333 0.3598
2 Y 0.3333 0.6667 0.1164
3 Y 0.6667 0.3333 0.6164
4 Mg 0.0000 0.0000 0.0000
5 Cu 0.0000 0.0000 0.2500
6 Y 0.3333 0.6667 0.3836
7 Mg 0.3333 0.6667 0.6402
8 Cu 0.0000 0.0000 0.7500
9 Mg 0.6667 0.3333 0.1402
10 Y 0.6667 0.3333 0.8836
11 Mg 0.0000 0.0000 0.5000
12 Mg 0.3333 0.6667 0.8598



# 5
Entry from Alexandria via LeMat-Bulk: UTcS after structural relaxation (PBE).

Output
total DFT energy (no corrections) = -109.63 eV for the cell shown
calculated volume = 213 Å³ per cell

Unit cell a=4.6698 b=3.1844 c=14.3032 alpha=90.00 beta=90.00 gamma=90.00
Atoms (fractional coordinates):
1 Tc 0.2500 0.7913 0.7560
2 S 0.2500 0.5000 0.4355
3 S 0.7500 0.0000 0.0645
4 U 0.2500 0.0184 0.6024
5 Tc 0.2500 0.7087 0.2560
6 U 0.7500 0.5184 0.8976
7 S 0.7500 0.5000 0.5645
8 Tc 0.7500 0.2087 0.2440
9 Tc 0.7500 0.2913 0.7440
10 U 0.7500 0.9816 0.3976
11 S 0.2500 0.0000 0.9355
12 U 0.2500 0.4816 0.1024



# 6
Entry from Alexandria via LeMat-Bulk: Tb6Sb3Ir after structural relaxation (PBE).

Output
total DFT energy (no corrections) = -111.48 eV for the cell shown
calculated volume = 614 Å³ per cell

Unit cell a=7.4510 b=9.2251 c=9.2251 alpha=104.63 beta=90.00 gamma=90.00
Atoms (fractional coordinates):
1 Tb 0.1632 0.7122 0.6319
2 Sb 0.4872 0.9298 0.7100
3 Sb 0.9872 0.0702 0.2900
4 Tb 0.6632 0.2878 0.3681
5 Tb 0.6814 0.9023 0.4131
6 Sb 0.4872 0.2900 0.0702
7 Sb 0.8637 0.5976 0.4024
8 Tb 0.1632 0.3681 0.2878
9 Tb 0.1814 0.4131 0.9023
10 Tb 0.6956 0.2457 0.7543
11 Tb 0.1814 0.0977 0.5869
12 Tb 0.6814 0.5869 0.0977
13 Tb 0.7581 0.0021 0.9979
14 Ir 0.0045 0.1449 0.8551
15 Sb 0.3637 0.4024 0.5976
16 Ir 0.5045 0.8551 0.1449
17 Tb 0.1956 0.7543 0.2457
18 Tb 0.2581 0.9979 0.0021
19 Sb 0.9872 0.7100 0.9298
20 Tb 0.6632 0.6319 0.7122



# 7
Entry from Alexandria via LeMat-Bulk: SiAu2C after structural relaxation (PBE).

Output
energy relative to the lowest polymorph listed for this composition = 143 kJ/mol of formula units
total DFT energy (no corrections) = -15.86 eV for the cell shown
calculated volume = 59 Å³ per cell

Unit cell a=4.3763 b=4.3763 c=4.3763 alpha=60.00 beta=60.00 gamma=60.00
Atoms (fractional coordinates):
1 Au 0.7500 0.7500 0.7500
2 C 0.0000 0.0000 0.0000
3 Si 0.5000 0.5000 0.5000
4 Au 0.2500 0.2500 0.2500



# 8
Entry from Alexandria via LeMat-Bulk: CrTe2I after structural relaxation (PBE).

Output
energy relative to the lowest polymorph listed for this composition = 97 kJ/mol of formula units
total DFT energy (no corrections) = -34.60 eV for the cell shown
calculated volume = 273 Å³ per cell

Unit cell a=6.1664 b=7.3247 c=7.8998 alpha=61.04 beta=98.11 gamma=118.20
Atoms (fractional coordinates):
1 Cr 0.1204 0.6321 0.1280
2 Cr 0.9915 0.8415 0.0532
3 Te 0.7482 0.4426 0.3838
4 Te 0.9180 0.6450 0.6333
5 I 0.5209 0.7483 0.9110
6 Te 0.8575 0.2906 0.0205
7 I 0.1944 0.1815 0.7076
8 Te 0.3530 0.9401 0.2639



# 9
Entry from Alexandria via LeMat-Bulk: Pr3SmTm2 after structural relaxation (PBE).

Output
energy relative to the lowest polymorph listed for this composition = 32 kJ/mol of formula units
total DFT energy (no corrections) = -26.03 eV for the cell shown
calculated volume = 207 Å³ per cell
formation energy from the elements = 7.56 kcal/mol of atoms

Unit cell a=3.5121 b=5.9818 c=10.4365 alpha=106.65 beta=99.69 gamma=90.00
Atoms (fractional coordinates):
1 Pr 0.8104 0.8104 0.6207
2 Sm 0.0000 0.0000 0.0000
3 Tm 0.3623 0.3623 0.7246
4 Pr 0.0000 0.5000 0.0000
5 Tm 0.6377 0.6377 0.2754
6 Pr 0.1896 0.1896 0.3793



# 10
Entry from Alexandria via LeMat-Bulk: RbSi2Tc after structural relaxation (PBE).

Output
energy relative to the lowest polymorph listed for this composition = 0 kJ/mol of formula units
total DFT energy (no corrections) = -42.95 eV for the cell shown
calculated volume = 253 Å³ per cell

Unit cell a=6.1013 b=6.1013 c=8.0431 alpha=67.71 beta=67.71 gamma=90.00
Atoms (fractional coordinates):
1 Si 0.8751 0.6250 0.2500
2 Si 0.8750 0.1249 0.7500
3 Si 0.8749 0.1250 0.2500
4 Rb 0.5000 0.5000 0.0000
5 Rb 0.2500 0.7500 0.5000
6 Tc 0.0000 0.0000 0.0000
7 Tc 0.7500 0.2500 0.5000
8 Si 0.3750 0.1251 0.7500



# 11
Entry from Alexandria via LeMat-Bulk: Li2ScIn after structural relaxation (PBE).

Output
total DFT energy (no corrections) = -13.46 eV for the cell shown
calculated volume = 82 Å³ per cell
formation energy from the elements = -3.22 kcal/mol of atoms

Unit cell a=3.2604 b=3.2604 c=7.7300 alpha=90.00 beta=90.00 gamma=90.00
Atoms (fractional coordinates):
1 In 0.5000 0.5000 0.7757
2 Li 0.5000 0.5000 0.2180
3 Sc 0.0000 0.0000 0.5056
4 Li 0.0000 0.0000 0.0008



# 12
Entry from Alexandria via LeMat-Bulk: Pu2CoPd after structural relaxation (PBE).

Output
total DFT energy (no corrections) = -40.27 eV for the cell shown
calculated volume = 72 Å³ per cell
formation energy from the elements = 3.97 kcal/mol of atoms

Unit cell a=2.9099 b=2.9099 c=9.8964 alpha=81.55 beta=81.55 gamma=60.00
Atoms (fractional coordinates):
1 Co 0.0000 0.0000 0.0000
2 Pu 0.7450 0.7450 0.7651
3 Pu 0.2550 0.2550 0.2349
4 Pd 0.5000 0.5000 0.5000



Copy entry 10 word for word.
Entry from Alexandria via LeMat-Bulk: RbSi2Tc after structural relaxation (PBE).

Output
energy relative to the lowest polymorph listed for this composition = 0 kJ/mol of formula units
total DFT energy (no corrections) = -42.95 eV for the cell shown
calculated volume = 253 Å³ per cell

Unit cell a=6.1013 b=6.1013 c=8.0431 alpha=67.71 beta=67.71 gamma=90.00
Atoms (fractional coordinates):
1 Si 0.8751 0.6250 0.2500
2 Si 0.8750 0.1249 0.7500
3 Si 0.8749 0.1250 0.2500
4 Rb 0.5000 0.5000 0.0000
5 Rb 0.2500 0.7500 0.5000
6 Tc 0.0000 0.0000 0.0000
7 Tc 0.7500 0.2500 0.5000
8 Si 0.3750 0.1251 0.7500